# Tm2VPbO6 PBE+U optimized geometry
data_Tm2VPbO6
_chemical_formula_sum 'Tm2 V1 Pb1 O6'
_symmetry_space_group_name_H-M 'P 1'
_symmetry_Int_Tables_number 1
_symmetry_space_group_name_Hall 'P 1'
_cell_length_a 5.347
_cell_length_b 5.347
_cell_length_c 5.641
_cell_angle_alpha 90.00
_cell_angle_beta 90.00
_cell_angle_gamma 90.00
loop_
_atom_site_label
_atom_site_type_symbol
_atom_site_fract_x
_atom_site_fract_y
_atom_site_fract_z
_atom_site_occupancy
Tm1 Tm 0.000 0.500 0.000 1
Tm2 Tm 0.500 0.000 0.000 1
V1 V 0.000 0.000 0.659 1
Pb1 Pb 0.500 0.500 0.563 1
O1 O 0.000 0.000 0.347 1
O2 O 0.232 0.232 0.805 1
O3 O 0.232 0.768 0.805 1
O4 O 0.500 0.500 0.157 1
O5 O 0.768 0.232 0.805 1
O6 O 0.768 0.768 0.805 1
# DFT total energy = -7.330 eV/atom